VASP calculation (PBE) on crystalline NaAlOsO6 at its relaxed geometry.

Results
* E_form (uncorrected): -14.11 eV/f.u.

Structure (CIF):
```
data_NaAlOsO6
_cell_length_a 5.0479
_cell_length_b 5.0479
_cell_length_c 10.4081
_cell_angle_alpha 90.00
_cell_angle_beta 90.00
_cell_angle_gamma 120.00
_space_group_name_H-M_alt 'P -3 1 c'
_space_group_IT_number 163
_space_group_name_Hall '-P 3 2c'
loop_
_atom_site_label
_atom_site_fract_x
_atom_site_fract_y
_atom_site_fract_z
Na1 0.0000 0.0000 0.0000
Al1 0.3333 0.6667 0.2500
Os1 0.3333 0.6667 0.7500
O1 0.0055 0.3846 0.6490
```

***

VASP calculation (PBE) on crystalline Cs2InS at its relaxed geometry.

Results
* energy above the lowest structure with this stoichiometry: 141 meV/atom
* E_form (uncorrected): -0.89 eV/f.u.
* D(E_F): 0.85 states/eV/atom

Structure (CIF):
```
data_Cs2InS
_cell_length_a 8.6670
_cell_length_b 8.6670
_cell_length_c 8.6670
_cell_angle_alpha 90.00
_cell_angle_beta 90.00
_cell_angle_gamma 90.00
_space_group_name_H-M_alt 'F m -3 m'
_space_group_IT_number 225
_space_group_name_Hall '-F 4 2 3'
loop_
_atom_site_label
_atom_site_fract_x
_atom_site_fract_y
_atom_site_fract_z
Cs1 0.2500 0.2500 0.2500
In1 0.0000 0.0000 0.0000
S1 0.0000 0.0000 0.5000
```

***

VASP calculation (PBE) on crystalline PmTlTeSe at its relaxed geometry.

Results
* E_form (uncorrected): -4.84 eV/f.u.

Structure (CIF):
```
data_PmTlTeSe
_cell_length_a 4.3969
_cell_length_b 4.3969
_cell_length_c 24.4780
_cell_angle_alpha 90.00
_cell_angle_beta 90.00
_cell_angle_gamma 120.00
_space_group_name_H-M_alt 'R 3 m'
_space_group_IT_number 160
_space_group_name_Hall 'R 3 -2"'
loop_
_atom_site_label
_atom_site_fract_x
_atom_site_fract_y
_atom_site_fract_z
Pm1 0.0000 0.0000 0.0000
Tl1 0.0000 0.0000 0.1741
Te1 0.0000 0.0000 0.4127
Se1 0.0000 0.0000 0.6059
```

***

Number 1: volume 229.68 Å³/cell. Number 2: volume 651.05 Å³/cell. Number 3: volume 409.82 Å³/cell.